PmEuAg, relaxed, DFT GGA-PBE; total moment = 7.21 μB per cell; symmetry = P3m1, No. 156; energy = -5.962 eV per atom; formation enthalpy at 0 K = 0.00 eV/atom
1.0
5.210 0.000 0.000
-2.605 4.512 0.000
0.000 0.000 3.748
Pm Eu Ag
1 1 1
Cartesian
0.000 0.000 0.000
2.605 1.504 1.592
0.000 3.008 2.745